Entry 1:
DFT (GGA-PBE) results for an optimized crystal structure of ZrTaMo.

DOS(E_F) ... 3.617 states/eV/cell
Energy relative to the lowest polymorph listed for this composition ... 155 meV/atom
Formation enthalpy at 0 K ... 0.040 eV/atom
Space-group type ... Fmm2
M_tot ... 0.00 μB/atom

a b c (Å): 7.3606 7.1241 2.9613
angles (deg): 82.72 73.76 23.52
Last column: nearest neighbours and their distance in Å.
Fractional positions:
Mo 0.9943 0.9943 0.0057  2 Ta 2.63, 2 Zr 2.83
Ta 0.3453 0.3453 0.6547  2 Mo 2.63
Zr 0.6605 0.6605 0.3395  2 Mo 2.83, 4 Zr 2.96, 2 Ta 3.04

Entry 2:
DFT (GGA-PBE) results for an optimized crystal structure of ZrTa2Mo.

DOS(E_F) ... 5.135 states/eV/cell
Energy relative to the lowest polymorph listed for this composition ... 63 meV/atom
Formation enthalpy at 0 K ... 0.034 eV/atom
Space-group type ... P2/m
M_tot ... 0.00 μB/atom

a b c (Å): 4.6640 2.9600 5.5221
angles (deg): 77.64 90.00 90.00
Last column: nearest neighbours and their distance in Å.
Fractional positions:
Mo 0.5000 0.7500 0.7500  4 Ta 2.80, 2 Zr 2.84, 2 Mo 2.96
Ta 0.0000 0.9574 0.9845  5 Ta 2.79-3.09, 2 Mo 2.80, 2 Zr 2.98
Ta 0.0000 0.5426 0.5155  5 Ta 2.79-3.09, 2 Mo 2.80, 2 Zr 2.98
Zr 0.5000 0.2500 0.2500  2 Mo 2.84, 2 Zr 2.96, 4 Ta 2.98

Entry 3:
DFT (GGA-PBE) results for an optimized crystal structure of ZrTa2Mo2.

DOS(E_F) ... 11.081 states/eV/cell
Energy relative to the lowest polymorph listed for this composition ... 57 meV/atom
Formation enthalpy at 0 K ... 0.340 eV/atom
Space-group type ... P4/mbm
M_tot ... 0.00 μB/atom

a b c (Å): 8.0757 8.0757 2.9007
angles (deg): 90.00 90.00 90.00
Last column: nearest neighbours and their distance in Å.
Fractional positions:
Mo 0.1560 0.6560 0.5000  6 Ta 2.70-2.83, 2 Mo 2.90
Mo 0.6560 0.8440 0.5000  6 Ta 2.70-2.83, 2 Mo 2.90
Mo 0.8440 0.3440 0.5000  6 Ta 2.70-2.83, 2 Mo 2.90
Mo 0.3440 0.1560 0.5000  6 Ta 2.70-2.83, 2 Mo 2.90
Zr 0.0000 0.0000 0.0000  2 Zr 2.90, 4 Ta 3.10
Zr 0.5000 0.5000 0.0000  2 Zr 2.90, 4 Ta 3.10
Ta 0.3558 0.8558 0.0000  6 Mo 2.70-2.83, 2 Ta 2.90
Ta 0.8558 0.6442 0.0000  6 Mo 2.70-2.83, 2 Ta 2.90
Ta 0.6442 0.1442 0.0000  6 Mo 2.70-2.83, 2 Ta 2.90
Ta 0.1442 0.3558 0.0000  6 Mo 2.70-2.83, 2 Ta 2.90

Entry 4:
DFT (GGA-PBE) results for an optimized crystal structure of ZrTa2Mo2.

DOS(E_F) ... 5.699 states/eV/cell
Energy relative to the lowest polymorph listed for this composition ... 328 meV/atom
Formation enthalpy at 0 K ... 0.612 eV/atom
Space-group type ... I4/mmm
M_tot ... 0.00 μB/atom

a b c (Å): 4.1870 4.1870 6.4290
angles (deg): 71.00 71.00 90.00
Last column: nearest neighbours and their distance in Å.
Fractional positions:
Mo 0.7500 0.2500 0.5000  4 Ta 2.61
Mo 0.2500 0.7500 0.5000  4 Ta 2.61
Zr 0.0000 0.0000 0.0000  8 Ta 3.23, 8 Mo 3.54
Ta 0.3863 0.3863 0.2273  1 Ta 2.59, 4 Mo 2.61
Ta 0.6137 0.6137 0.7727  1 Ta 2.59, 4 Mo 2.61

Entry 5:
DFT (GGA-PBE) results for an optimized crystal structure of ZrTaMo.

DOS(E_F) ... 11.346 states/eV/cell
Energy relative to the lowest polymorph listed for this composition ... 25 meV/atom
Formation enthalpy at 0 K ... -0.089 eV/atom
Space-group type ... Amm2
M_tot ... 0.00 μB/atom

a b c (Å): 5.4250 5.4250 8.9762
angles (deg): 90.00 90.00 118.66
Last column: nearest neighbours and their distance in Å.
Fractional positions:
Zr 0.3328 0.6672 0.3078  5 Mo 3.15-3.26, 7 Ta 3.18-3.23, 4 Zr 3.31-3.45
Zr 0.6667 0.3333 0.1831  5 Ta 3.14-3.24, 7 Mo 3.17-3.24, 4 Zr 3.29-3.36
Zr 0.6667 0.3333 0.8169  5 Ta 3.14-3.24, 7 Mo 3.17-3.24, 4 Zr 3.29-3.36
Zr 0.3328 0.6672 0.6922  5 Mo 3.15-3.26, 7 Ta 3.18-3.23, 4 Zr 3.31-3.45
Ta 0.9977 0.0023 0.2445  4 Mo 2.72-2.76, 2 Ta 2.82
Ta 0.9977 0.0023 0.7555  4 Mo 2.72-2.76, 2 Ta 2.82
Ta 0.3413 0.1675 0.5000  2 Mo 2.67-2.75, 4 Ta 2.72-2.82
Ta 0.8325 0.6587 0.5000  2 Mo 2.67-2.75, 4 Ta 2.72-2.82
Mo 0.8332 0.1668 0.5000  6 Ta 2.67-2.76
Mo 0.6559 0.8276 0.0000  4 Mo 2.64-2.86, 2 Ta 2.73
Mo 0.1724 0.3441 0.0000  4 Mo 2.64-2.86, 2 Ta 2.73
Mo 0.1701 0.8299 0.0000  4 Mo 2.64-2.78, 2 Ta 2.72

Entry 6:
DFT (GGA-PBE) results for an optimized crystal structure of ZrTa2Mo.

DOS(E_F) ... 5.731 states/eV/cell
Energy relative to the lowest polymorph listed for this composition ... 108 meV/atom
Formation enthalpy at 0 K ... 0.079 eV/atom
Space-group type ... C2/m
M_tot ... 0.00 μB/atom

a b c (Å): 5.4336 5.5177 2.9194
angles (deg): 80.28 78.79 116.17
Last column: nearest neighbours and their distance in Å.
Fractional positions:
Mo 0.5000 0.5000 0.0000  2 Zr 2.82, 4 Ta 2.90, 2 Mo 2.92
Ta 0.0000 0.0000 0.0000  4 Ta 2.82-2.92, 2 Mo 2.90, 2 Zr 2.90
Ta 0.5000 0.0000 0.5000  4 Ta 2.82-2.92, 2 Zr 2.90, 2 Mo 2.90
Zr 0.0000 0.5000 0.5000  2 Mo 2.82, 4 Ta 2.90, 2 Zr 2.92